PmTm2ZrN4 (PBE, optimized geometry); size of the total moment = 0.0 μB/cell; space group = No. 10; E = -8.625 eV per atom; ΔE_f (raw) = -1.68 eV per atom
1.0
-3.3574 0.5783 -0.0179
-0.3666 -1.9551 5.5849
0.9999 5.8067 0.0352
N Tm Zr Pm
4 2 1 1
direct
0.0000 0.7668 0.2533 N
0.5000 0.7639 0.7541 N
0.0000 0.2332 0.7467 N
0.5000 0.2361 0.2459 N
0.5000 0.0000 0.5000 Tm
0.0000 0.5000 0.5000 Tm
0.0000 0.0000 0.0000 Zr
0.5000 0.5000 0.0000 Pm

---

AcTmZnPd (PBE, optimized geometry); size of the total moment = 0.0 μB/cell; space group = No. 216; E = -4.234 eV per atom; formation energy = -1.9 eV per formula unit
1.0
-3.9912 -2.4616 -2.2945
0.7161 -2.4542 -4.5517
-0.0851 -5.2162 -0.1948
Tm Ac Zn Pd
1 1 1 1
direct
0.7500 0.7500 0.7500 Tm
0.2500 0.2500 0.2500 Ac
0.0000 0.0000 0.0000 Zn
0.5000 0.5000 0.5000 Pd

---

Mn2InAu (PBE, optimized geometry); size of the total moment = 7.6 μB/cell; space group = No. 216; E = -5.877 eV per atom; formation energy = 0.8 eV per formula unit
1.0
4.6075 0.0000 0.0000
2.3038 3.9902 0.0000
2.3038 1.3301 3.7620
Mn Au In
2 1 1
direct
0.2500 0.2500 0.2500 Mn
0.0000 0.0000 0.0000 Mn
0.5000 0.5000 0.5000 Au
0.7500 0.7500 0.7500 In

---

SmZn2Cu3 (PBE, optimized geometry); size of the total moment = 0.0 μB/cell; space group = No. 63; E = -3.462 eV per atom; formation energy = -1.2 eV per formula unit
1.0
-2.2724 4.4771 0.4937
-5.5798 -2.9037 0.6490
1.5366 0.1036 6.1331
Sm Cu Zn
2 6 4
direct
0.2500 0.3074 0.3074 Sm
0.7500 0.6926 0.6926 Sm
0.7500 0.0895 0.4475 Cu
0.7500 0.4475 0.0895 Cu
0.2500 0.9411 0.9411 Cu
0.7500 0.0589 0.0589 Cu
0.2500 0.5525 0.9105 Cu
0.2500 0.9105 0.5525 Cu
0.0000 0.7736 0.2264 Zn
0.0000 0.2264 0.7736 Zn
0.5000 0.2264 0.7736 Zn
0.5000 0.7736 0.2264 Zn

---

CaAlP2S (PBE, optimized geometry); size of the total moment = 1.0 μB/cell; space group = No. 123; E = -3.311 eV per atom; energy above the lowest structure with this stoichiometry = 1091 meV/atom; ΔE_f (raw) = 0.83 eV per atom
1.0
5.2668 0.0000 0.0000
0.0000 5.2668 0.0000
0.0000 0.0000 5.1324
S P Al Ca
1 2 1 1
direct
0.0000 0.0000 0.5000 S
0.5000 0.0000 0.0000 P
0.0000 0.5000 0.0000 P
0.5000 0.5000 0.5000 Al
0.0000 0.0000 0.0000 Ca

---

YTiSi2Ru (PBE, optimized geometry); size of the total moment = 2.1 μB/cell; space group = No. 123; E = -5.938 eV per atom; energy above the lowest structure with this stoichiometry = 1802 meV/atom; ΔE_f (raw) = 0.96 eV per atom
1.0
4.6883 0.0000 0.0000
0.0000 4.9099 0.0000
0.0000 0.0000 4.6883
Y Ru Si Ti
1 1 2 1
direct
0.0000 0.5000 0.0000 Y
0.5000 0.5000 0.5000 Ru
0.5000 0.0000 0.0000 Si
0.0000 0.0000 0.5000 Si
0.0000 0.0000 0.0000 Ti